Entry from the Alexandria database: crystalline Mg2ZnRuO at its relaxed geometry (PBE-GGA).

Geometry as extended XYZ:
```
5
Lattice="4.927 0.000 0.000 0.000 4.927 0.000 0.000 0.000 4.662" Properties=species:S:1:pos:R:3 pbc="T T T"
Mg 0.000 2.464 0.000
Mg 2.464 0.000 0.000
Zn 0.000 0.000 2.331
Ru 0.000 0.000 0.000
O 2.464 2.464 2.331
```

The uncorrected formation energy is 748.2 meV/atom. As for the space group: P4/mmm (123).